Record 1
A plane-wave DFT calculation with PBE was carried out for KCr after structural relaxation.

Results
* ΔH_f (0 K): 245 kJ/mol of formula units
* uncorrected energy: -4.093 eV per atom

The structure in CIF format:
```
data_KCr
_chemical_formula_sum 'K1 Cr1'
_cell_length_a 4.230
_cell_length_b 4.230
_cell_length_c 4.230
_cell_angle_alpha 90.00
_cell_angle_beta 90.00
_cell_angle_gamma 90.00
_symmetry_space_group_name_H-M 'P m -3 m'
_symmetry_Int_Tables_number 221
_symmetry_space_group_name_Hall '-P 4 2 3'
loop_
_atom_site_label
_atom_site_fract_x
_atom_site_fract_y
_atom_site_fract_z
K1 0.000 0.000 0.000
Cr1 0.500 0.500 0.500
```


Record 2
A plane-wave DFT calculation with PBE was carried out for KCr after structural relaxation.

Results
* ΔH_f (0 K): 250 kJ/mol of formula units
* uncorrected energy: -4.067 eV per atom

The structure in CIF format:
```
data_KCr
_chemical_formula_sum 'K1 Cr1'
_cell_length_a 3.5275
_cell_length_b 3.5275
_cell_length_c 6.0647
_cell_angle_alpha 90.00
_cell_angle_beta 90.00
_cell_angle_gamma 120.00
_symmetry_space_group_name_H-M 'P -6 m 2'
_symmetry_Int_Tables_number 187
_symmetry_space_group_name_Hall 'P -6 2'
loop_
_atom_site_label
_atom_site_fract_x
_atom_site_fract_y
_atom_site_fract_z
K1 0.0000 0.0000 0.0000
Cr1 0.3333 0.6667 0.5000
```


Summary of V in A^3/atom
37.83, 32.68
(order as listed above)